1.
Computed, not measured: a relaxed Cs2BaBeOs crystal at the GGA-PBE level of DFT.

```
Cs2BaBeOs
1.0
6.3030 0.0000 0.0000
0.0000 6.3349 0.0000
0.0000 0.0000 6.3030
Cs Be Os Ba
2 1 1 1
direct
0.0000 0.0000 0.5000
0.5000 0.0000 0.0000
0.0000 0.0000 0.0000
0.5000 0.5000 0.5000
0.0000 0.5000 0.0000
```

Results
The formation energy from the elements is 8.40 eV/f.u. The calculation puts the total energy at -10.18 eV/cell. The symmetry is P4/mmm, No. 123.

2.
Computed, not measured: a relaxed Dy6Hg3H crystal at the GGA-PBE level of DFT.

```
Dy6Hg3H
1.0
-5.7977 2.7972 0.3833
-3.5456 -7.1727 -1.2861
-0.5160 -1.5144 9.8687
Dy Hg H
12 6 2
direct
0.6242 0.2196 0.5681
0.8758 0.7196 0.9319
0.8310 0.9374 0.2295
0.1557 0.3542 0.4491
0.1690 0.0626 0.7705
0.1242 0.2804 0.0681
0.3310 0.5626 0.7295
0.8443 0.6458 0.5509
0.3758 0.7804 0.4319
0.6690 0.4374 0.2705
0.3443 0.8542 0.0509
0.6557 0.1458 0.9491
0.5843 0.8857 0.7241
0.9157 0.3857 0.7759
0.4157 0.1143 0.2759
0.0000 0.0000 0.5000
0.5000 0.5000 0.0000
0.0843 0.6143 0.2241
0.5000 0.5000 0.5000
0.0000 0.0000 0.0000
```

Results
The calculation puts the total energy at -68.98 eV/cell. The symmetry is P2_1/c, No. 14.

3.
Computed, not measured: a relaxed AcSmAu4 crystal at the GGA-PBE level of DFT.

```
AcSmAu4
1.0
4.1667 -1.1892 0.7843
-1.1245 4.8000 0.7984
1.0199 1.1472 8.6038
Au Sm Ac
4 1 1
direct
0.1345 0.4712 0.7068
0.8676 0.5229 0.2900
0.4120 0.0647 0.7427
0.5911 0.9303 0.2530
0.0011 0.9968 0.4981
0.5016 0.4978 0.9981
```

Results
The formation energy from the elements is -4.75 eV/f.u. The calculation puts the total energy at -26.69 eV/cell. The symmetry is P-1, No. 2.

4.
Computed, not measured: a relaxed PmGd2Ge crystal at the GGA-PBE level of DFT.

```
PmGd2Ge
1.0
5.3390 0.0000 0.0000
2.6695 4.6237 0.0000
2.6695 1.5412 4.3599
Pm Ge Gd
1 1 2
direct
0.0000 0.0000 0.0000
0.5000 0.5000 0.5000
0.2499 0.2499 0.2502
0.7501 0.7501 0.7498
```

Results
The formation energy from the elements is -0.53 eV/f.u. The calculation puts the total energy at -38.06 eV/cell. The symmetry is Fm-3m, No. 225.

Number 1: Fermi-level density of states 5.17 states/eV per cell. Number 2: Fermi-level density of states 22.16 states/eV per cell. Number 3: Fermi-level density of states 2.68 states/eV per cell. Number 4: Fermi-level density of states 4.25 states/eV per cell.